Computed, not measured: crystalline KDyP4O12 at its relaxed geometry at the GGA-PBE level of DFT.

Results
SG: No. 15
Raw formation energy, eV/atom: -2.4552
Total moment, μB/atom: 0.00

a b c (Å): 7.475 7.475 10.574
angles (deg): 78.86 78.86 115.48
Sites, in units of the cell vectors:
O: 0.800 0.297 0.392
O: 0.492 0.357 0.411
O: 0.470 0.729 0.059
O: 0.863 0.837 0.406
O: 0.703 0.200 0.108
O: 0.530 0.271 0.941
P: 0.622 0.286 0.494
P: 0.751 0.697 0.551
P: 0.714 0.378 0.006
K: 0.190 0.810 0.250
O: 0.244 0.170 0.837
O: 0.271 0.530 0.441
P: 0.249 0.303 0.449
K: 0.810 0.190 0.750
O: 0.357 0.492 0.911
O: 0.137 0.163 0.594
O: 0.515 0.907 0.387
O: 0.643 0.508 0.089
O: 0.297 0.800 0.892
Dy: 0.880 0.120 0.250
Dy: 0.120 0.880 0.750
O: 0.163 0.137 0.094
P: 0.303 0.249 0.949
P: 0.286 0.622 0.994
O: 0.837 0.863 0.906
O: 0.485 0.093 0.613
O: 0.907 0.515 0.887
O: 0.093 0.485 0.113
O: 0.729 0.470 0.559
O: 0.170 0.244 0.337
O: 0.200 0.703 0.608
P: 0.378 0.714 0.506
P: 0.697 0.751 0.051
O: 0.508 0.643 0.589
O: 0.756 0.830 0.163
O: 0.830 0.756 0.663


Computed, not measured: crystalline InBiPbCl6 at its relaxed geometry at the GGA-PBE level of DFT.

Results
SG: No. 163
Raw formation energy, eV/atom: -1.0240
Total moment, μB/atom: 0.00

a b c (Å): 7.379 7.379 13.589
angles (deg): 90.00 90.00 120.00
Sites, in units of the cell vectors:
Bi: 0.333 0.667 0.750
In: 0.000 0.000 0.000
Cl: 0.019 0.648 0.866
Pb: 0.667 0.333 0.750
In: 0.000 0.000 0.500
Cl: 0.648 0.629 0.134
Cl: 0.629 0.981 0.866
Cl: 0.981 0.629 0.366
Cl: 0.352 0.371 0.866
Cl: 0.648 0.019 0.366
Cl: 0.371 0.352 0.366
Pb: 0.333 0.667 0.250
Cl: 0.629 0.648 0.634
Cl: 0.019 0.371 0.634
Cl: 0.352 0.981 0.634
Cl: 0.981 0.352 0.134
Bi: 0.667 0.333 0.250
Cl: 0.371 0.019 0.134


Computed, not measured: crystalline Nb3OsAu at its relaxed geometry at the GGA-PBE level of DFT.

Results
Offset from the most stable computed form, meV per atom: 1068
Formation enthalpy at 0 K, eV/atom: 2.043
SG: No. 221
Total moment, μB/atom: 0.00

a b c (Å): 4.854 4.854 4.854
angles (deg): 90.00 90.00 90.00
Sites, in units of the cell vectors:
Nb: 0.000 0.000 0.500
Os: 0.500 0.500 0.500
Nb: 0.000 0.500 0.000
Au: 0.000 0.000 0.000
Nb: 0.500 0.000 0.000


Computed, not measured: crystalline V2CdOsN at its relaxed geometry at the GGA-PBE level of DFT.

Results
SG: No. 123
Raw formation energy, eV/atom: 1.0148
Total moment, μB/atom: 0.00

a b c (Å): 4.870 3.718 4.870
angles (deg): 90.00 90.00 90.00
Sites, in units of the cell vectors:
Cd: 0.500 0.500 0.500
N: 0.000 0.500 0.000
V: 0.000 0.000 0.500
V: 0.500 0.000 0.000
Os: 0.000 0.000 0.000


Computed, not measured: crystalline Te4IBr at its relaxed geometry at the GGA-PBE level of DFT.

Results
SG: No. 1
Raw formation energy, eV/atom: -0.0448
Total moment, μB/atom: 0.00

a b c (Å): 4.117 7.245 11.871
angles (deg): 48.67 70.15 55.64
Sites, in units of the cell vectors:
Te: 0.642 0.022 0.843
Br: 0.491 0.516 0.999
Te: 0.131 0.558 0.317
Te: 0.879 0.436 0.690
Te: 0.371 0.972 0.163
I: 0.993 0.013 0.500


Computed, not measured: crystalline NbCr2ReC at its relaxed geometry at the GGA-PBE level of DFT.

Results
Formation enthalpy at 0 K, eV/atom: 2.231
SG: No. 123
Total moment, μB/atom: 0.54

a b c (Å): 4.667 4.667 4.017
angles (deg): 90.00 90.00 90.00
Each line ends with the local moment (μB).
Sites, in units of the cell vectors:
Re: 0.500 0.500 0.500  -2.42
C: 0.000 0.000 0.500  0.03
Cr: 0.500 0.000 0.000  2.67
Cr: 0.000 0.500 0.000  2.67
Nb: 0.000 0.000 0.000  -0.44


Computed, not measured: crystalline TbNdRu2 at its relaxed geometry at the GGA-PBE level of DFT.

Results
Formation enthalpy at 0 K, eV/atom: -0.171
SG: No. 123
Total moment, μB/atom: 0.00

a b c (Å): 3.461 3.461 6.930
angles (deg): 90.00 90.00 90.00
Sites, in units of the cell vectors:
Ru: 0.000 0.000 0.756
Ru: 0.000 0.000 0.244
Nd: 0.500 0.500 0.500
Tb: 0.500 0.500 0.000


Computed, not measured: crystalline CaAgOs2 at its relaxed geometry at the GGA-PBE level of DFT.

Results
Offset from the most stable computed form, meV per atom: 476
Formation enthalpy at 0 K, eV/atom: 0.804
SG: No. 65
Total moment, μB/atom: 0.00

a b c (Å): 2.708 2.708 9.578
angles (deg): 90.00 90.00 102.59
Sites, in units of the cell vectors:
Os: 0.000 0.000 0.006
Ca: 0.500 0.500 0.750
Ag: 0.500 0.500 0.250
Os: 0.000 0.000 0.494


Number 1: calculated total energy -262.064 eV per cell. Number 2: calculated total energy -61.246 eV per cell. Number 3: calculated total energy -34.501 eV per cell. Number 4: calculated total energy -33.634 eV per cell. Number 5: calculated total energy -16.058 eV per cell. Number 6: calculated total energy -39.835 eV per cell. Number 7: calculated total energy -28.634 eV per cell. Number 8: calculated total energy -24.095 eV per cell.